Here is a PBEsol-optimized structure of SrMn2F from the Alexandria database. Energies are from meta-GGA SCAN.

Computed properties:
Its energy relative to the elements, uncorrected is 156.7 meV per atom. The space group is Fm-3m.

POSCAR file:
```
SrMn2F
1.0
-3.8580 -0.2597 -3.1710
-3.8336 -3.0604 0.9717
-4.4411 1.8921 1.3052
Sr F Mn
1 1 2
direct
0.5000 0.5000 0.5000
0.0000 0.0000 0.0000
0.2500 0.2500 0.2500
0.7500 0.7500 0.7500
```

=====

Here is a PBEsol-optimized structure of YTaW2 from the Alexandria database. Energies are from meta-GGA SCAN.

Computed properties:
As for the formation energy: 12.33 kcal/mol of atoms. The space group is C2/m. The calculation puts the energy above the most stable polymorph in this dataset at 0 meV/atom.

POSCAR file:
```
YTaW2
1.0
2.8066 0.0002 0.0004
-0.9487 5.4331 -0.0119
-0.9487 -2.7020 4.7136
Ta W Y
1 2 1
direct
0.5000 0.5000 0.5000
0.0000 0.0000 0.5000
0.0000 0.5000 0.0000
0.5000 0.0000 0.0000
```

=====

Here is a PBEsol-optimized structure of BeAu3 from the Alexandria database. Energies are from meta-GGA SCAN.

Computed properties:
As for the formation energy: 0.79 kcal/mol of atoms. The space group is Fm-3m.

POSCAR file:
```
BeAu3
1.0
4.4316 0.0000 0.0000
2.2158 3.8379 0.0000
2.2158 1.2793 3.6184
Au Be
3 1
direct
0.7500 0.7500 0.7500
0.5000 0.5000 0.5000
0.2500 0.2500 0.2500
0.0000 0.0000 0.0000
```

=====

Here is a PBEsol-optimized structure of BTe2C from the Alexandria database. Energies are from meta-GGA SCAN.

Computed properties:
Its energy relative to the elements, uncorrected is 1747.8 meV per atom. The space group is R-3m.

POSCAR file:
```
BTe2C
1.0
3.7783 0.0000 0.0000
1.8892 3.2721 0.0000
1.8892 1.0907 6.6517
B C Te
1 1 2
direct
0.5000 0.5000 0.5000
0.0000 0.0000 0.0000
0.9026 0.9026 0.2923
0.0974 0.0974 0.7077
```

=====

Here is a PBEsol-optimized structure of TbAl10Ru2 from the Alexandria database. Energies are from meta-GGA SCAN.

Computed properties:
As for the formation energy: -13.85 kcal/mol of atoms. The space group is Cmcm.

POSCAR file:
```
TbAl10Ru2
1.0
6.8013 0.0013 0.0000
-0.8115 6.7527 0.0000
0.0000 0.0000 9.0668
Ru Al Tb
4 20 2
direct
0.5000 0.0000 0.0000
0.0000 0.5000 0.5000
0.5000 0.0000 0.5000
0.0000 0.5000 0.0000
0.1569 0.8431 0.8998
0.3765 0.6235 0.4500
0.3765 0.6235 0.0500
0.4797 0.2190 0.2500
0.4126 0.1409 0.7500
0.7747 0.7747 0.5000
0.8431 0.1569 0.1002
0.8591 0.5874 0.7500
0.7747 0.7747 0.0000
0.2253 0.2253 0.0000
0.8431 0.1569 0.3998
0.5203 0.7810 0.7500
0.2253 0.2253 0.5000
0.7810 0.5203 0.2500
0.1569 0.8431 0.6002
0.6235 0.3765 0.9500
0.1409 0.4126 0.2500
0.6235 0.3765 0.5500
0.2190 0.4797 0.7500
0.5874 0.8591 0.2500
0.8726 0.1274 0.7500
0.1274 0.8726 0.2500
```

=====

Here is a PBEsol-optimized structure of Sb3Pd8 from the Alexandria database. Energies are from meta-GGA SCAN.

Computed properties:
Its energy relative to the elements, uncorrected is -467.3 meV per atom. The space group is R-3c.

POSCAR file:
```
Sb3Pd8
1.0
-3.1116 3.5313 5.9767
-7.1807 -1.5191 2.0007
1.1651 -9.7744 11.2232
Sb Pd
12 32
direct
0.7500 0.0676 0.7500
0.5676 0.2500 0.2500
0.5000 0.5000 0.5000
0.1567 0.1567 0.5300
0.3433 0.3433 0.9700
0.9324 0.5676 0.2500
0.6567 0.6567 0.0300
0.4324 0.7500 0.7500
0.0000 0.0000 0.0000
0.0676 0.4324 0.7500
0.8433 0.8433 0.4700
0.2500 0.9324 0.2500
0.3575 0.7076 0.9474
0.6513 0.3822 0.8447
0.3822 0.1218 0.8447
0.2924 0.0125 0.0526
0.0624 0.0624 0.8128
0.2819 0.2819 0.1544
0.7819 0.7819 0.6544
0.4376 0.4376 0.6872
0.9875 0.3575 0.9474
0.1425 0.5125 0.5526
0.3487 0.6178 0.1553
0.1513 0.6218 0.3447
0.7076 0.9875 0.9474
0.6218 0.8822 0.3447
0.5624 0.5624 0.3128
0.1178 0.8487 0.6553
0.0125 0.6425 0.0526
0.8822 0.1513 0.3447
0.9376 0.9376 0.1872
0.3782 0.1178 0.6553
0.7924 0.1425 0.5526
0.2076 0.8575 0.4474
0.6425 0.2924 0.0526
0.8782 0.3487 0.1553
0.7181 0.7181 0.8456
0.4875 0.2076 0.4474
0.2181 0.2181 0.3456
0.5125 0.7924 0.5526
0.1218 0.6513 0.8447
0.6178 0.8782 0.1553
0.8575 0.4875 0.4474
0.8487 0.3782 0.6553
```

=====

Number 1: DFT total energy -61.7 eV per formula unit, Fermi-level density of states 4.24 states/eV/f.u.. Number 2: DFT total energy -231.7 eV per formula unit, Fermi-level density of states 3.81 states/eV/f.u.. Number 3: DFT total energy -211.7 eV per formula unit, Fermi-level density of states 0.91 states/eV/f.u.. Number 4: DFT total energy -85.0 eV per formula unit, Fermi-level density of states 1.82 states/eV/f.u.. Number 5: DFT total energy -201.7 eV per formula unit, Fermi-level density of states 4.16 states/eV/f.u.. Number 6: DFT total energy -379.1 eV per formula unit, Fermi-level density of states 3.72 states/eV/f.u..